## ThInSe4 (GGA-PBE)

Data for an optimized crystal structure of ThInSe4.

The structure in POSCAR format:
```
ThInSe4
1.0
7.089 0.000 -0.231
0.000 6.737 0.000
-0.334 0.000 7.111
Se In Th
8 2 2
direct
0.370 0.372 0.373 Se
0.360 0.863 0.157 Se
0.630 0.628 0.627 Se
0.640 0.137 0.843 Se
0.140 0.363 0.843 Se
0.130 0.872 0.627 Se
0.860 0.637 0.157 Se
0.870 0.128 0.373 Se
0.500 0.000 0.500 In
0.000 0.500 0.500 In
0.500 0.500 0.000 Th
0.000 0.000 0.000 Th
```

Properties
ΔE_f (raw) = -0.830 eV/atom

=====

## ScInH (GGA-PBE)

Data for an optimized crystal structure of ScInH.

The structure in POSCAR format:
```
ScInH
1.0
-2.856 1.677 0.390
-0.608 -2.294 5.410
5.133 7.835 3.899
H In Sc
4 4 4
direct
0.750 0.091 0.049 H
0.750 0.409 0.549 H
0.250 0.591 0.451 H
0.250 0.909 0.951 H
0.750 0.422 0.234 In
0.250 0.578 0.766 In
0.250 0.922 0.266 In
0.750 0.078 0.734 In
0.750 0.733 0.507 Sc
0.750 0.767 0.007 Sc
0.250 0.267 0.493 Sc
0.250 0.233 0.993 Sc
```

Properties
energy above the lowest structure with this stoichiometry = 12 kJ/mol of formula units

=====

## V12Ge3B5 (GGA-PBE)

Data for an optimized crystal structure of V12Ge3B5.

The structure in POSCAR format:
```
V12Ge3B5
1.0
-5.178 5.116 -8.588
-0.268 -11.146 -1.559
-5.254 2.571 9.618
V Ge B
48 12 20
direct
0.611 0.582 0.905 V
0.207 0.678 0.095 V
0.178 0.095 0.707 V
0.905 0.082 0.611 V
0.582 0.611 0.405 V
0.793 0.471 0.389 V
0.207 0.529 0.611 V
0.529 0.322 0.918 V
0.095 0.918 0.389 V
0.707 0.595 0.178 V
0.971 0.389 0.293 V
0.918 0.822 0.529 V
0.111 0.405 0.082 V
0.889 0.595 0.918 V
0.793 0.322 0.905 V
0.471 0.678 0.082 V
0.095 0.178 0.207 V
0.611 0.029 0.207 V
0.029 0.611 0.707 V
0.418 0.029 0.322 V
0.471 0.793 0.889 V
0.029 0.418 0.822 V
0.889 0.293 0.471 V
0.707 0.111 0.029 V
0.405 0.293 0.322 V
0.389 0.418 0.095 V
0.822 0.918 0.029 V
0.595 0.707 0.678 V
0.529 0.207 0.111 V
0.678 0.207 0.595 V
0.322 0.793 0.405 V
0.082 0.178 0.471 V
0.582 0.971 0.678 V
0.678 0.471 0.582 V
0.178 0.082 0.971 V
0.322 0.529 0.418 V
0.822 0.905 0.293 V
0.405 0.111 0.582 V
0.293 0.405 0.822 V
0.971 0.582 0.178 V
0.418 0.389 0.595 V
0.918 0.095 0.889 V
0.389 0.971 0.793 V
0.111 0.707 0.529 V
0.293 0.889 0.971 V
0.082 0.905 0.111 V
0.905 0.822 0.793 V
0.595 0.889 0.418 V
0.250 0.625 0.875 Ge
0.875 0.750 0.125 Ge
0.125 0.250 0.875 Ge
0.750 0.875 0.625 Ge
0.625 0.375 0.750 Ge
0.375 0.750 0.625 Ge
0.750 0.375 0.125 Ge
0.875 0.125 0.250 Ge
0.125 0.875 0.750 Ge
0.625 0.250 0.375 Ge
0.375 0.625 0.250 Ge
0.250 0.125 0.375 Ge
0.500 0.500 0.000 B
0.000 0.000 0.000 B
0.875 0.625 0.750 B
0.250 0.375 0.625 B
0.125 0.750 0.375 B
0.375 0.250 0.125 B
0.000 0.500 0.500 B
0.250 0.875 0.125 B
0.125 0.375 0.250 B
0.375 0.125 0.750 B
0.875 0.250 0.625 B
0.750 0.625 0.375 B
0.625 0.875 0.250 B
0.000 0.500 0.000 B
0.625 0.750 0.875 B
0.500 0.000 0.000 B
0.500 0.500 0.500 B
0.000 0.000 0.500 B
0.750 0.125 0.875 B
0.500 0.000 0.500 B
```

Properties
ΔH_f (0 K) = 0.22 eV per atom

=====

## KZrTi2Tc (GGA-PBE)

Data for an optimized crystal structure of KZrTi2Tc.

The structure in POSCAR format:
```
KZrTi2Tc
1.0
-1.194 -2.429 3.430
-0.377 -3.935 -2.919
4.190 -0.973 0.770
Ti K Zr Tc
2 1 1 1
direct
0.000 0.000 0.500 Ti
0.500 0.000 0.000 Ti
0.000 0.000 0.000 K
0.000 0.500 0.000 Zr
0.500 0.500 0.500 Tc
```

Properties
ΔH_f (0 K) = 2.10 eV per atom

=====

## YSe (GGA-PBE)

Data for an optimized crystal structure of YSe.

The structure in POSCAR format:
```
YSe
1.0
-3.738 -0.727 3.456
0.933 -2.725 4.261
0.223 2.360 4.564
Se Y
2 2
direct
0.750 0.750 0.750 Se
0.000 0.000 0.000 Se
0.500 0.500 0.500 Y
0.250 0.250 0.250 Y
```

Properties
ΔE_f (raw) = -0.466 eV/atom

=====

## PrTlInCu (GGA-PBE)

Data for an optimized crystal structure of PrTlInCu.

The structure in POSCAR format:
```
PrTlInCu
1.0
5.168 0.000 0.000
2.584 4.476 0.000
2.584 1.492 4.220
Cu Tl In Pr
1 1 1 1
direct
0.250 0.250 0.250 Cu
0.750 0.750 0.750 Tl
0.500 0.500 0.500 In
0.000 0.000 0.000 Pr
```

Properties
ΔH_f (0 K) = -0.15 eV per atom

=====

## MnZn2Bi (GGA-PBE)

Data for an optimized crystal structure of MnZn2Bi.

The structure in POSCAR format:
```
MnZn2Bi
1.0
7.759 0.000 0.000
0.000 7.759 0.000
3.879 3.879 2.759
Mn Zn Bi
2 4 2
direct
0.250 0.750 0.500 Mn
0.500 0.500 0.000 Mn
0.375 0.402 0.750 Zn
0.875 0.848 0.750 Zn
0.598 0.125 0.250 Zn
0.152 0.625 0.250 Zn
0.000 0.000 0.000 Bi
0.750 0.250 0.500 Bi
```

Properties
ΔH_f (0 K) = 0.38 eV per atom

=====

## Y2ThAl (GGA-PBE)

Data for an optimized crystal structure of Y2ThAl.

The structure in POSCAR format:
```
Y2ThAl
1.0
-2.592 -1.547 1.845
1.910 0.328 2.960
-3.678 7.946 1.493
Y Al Th
2 1 1
direct
0.000 0.000 0.217 Y
0.000 0.000 0.783 Y
0.500 0.500 0.000 Al
0.500 0.500 0.500 Th
```

Properties
ΔH_f (0 K) = -0.19 eV per atom
energy above the lowest structure with this stoichiometry = 0 kJ/mol of formula units

=====

Taking the records one at a time from the top gives M_tot values of 1.67, 0.00, 0.00, 0.18, 1.79, 0.00, 7.49, 0.00 μB per cell.
Taking the records one at a time from the top gives V values of 169.53, 49.97, 274.58, 93.81, 48.08, 97.59, 83.05, 111.17 Å³/f.u..
Taking the records one at a time from the top gives uncorrected energy values of -4.846, -4.550, -7.608, -5.061, -5.441, -3.643, -3.516, -6.216 eV per atom.